Below is crystalline UTiS4 at its relaxed geometry, with properties calculated at the PBE level.

Lattice parameters (Å, degrees): 6.333 3.733 6.435 90.00 90.55 90.00
Positions (direct):
1 U 0.000 0.000 0.000
2 Ti 0.500 0.500 0.000
3 S 0.184 0.500 0.776
4 S 0.353 0.000 0.214
5 S 0.647 0.000 0.786
6 S 0.816 0.500 0.224

Calculated values
SG   P2/m (10)
Crystal system   monoclinic
Formation energy (no corrections)   -1296 meV/atom

---

Below is crystalline CaNd2Ir at its relaxed geometry, with properties calculated at the PBE level.

Lattice parameters (Å, degrees): 4.192 4.192 28.123 90.00 90.00 120.00
Positions (direct):
1 Ca 0.000 0.000 0.000
2 Ca 0.333 0.667 0.667
3 Ca 0.667 0.333 0.333
4 Nd 0.000 0.000 0.551
5 Nd 0.000 0.000 0.778
6 Nd 0.333 0.667 0.218
7 Nd 0.333 0.667 0.445
8 Nd 0.667 0.333 0.112
9 Nd 0.667 0.333 0.884
10 Ir 0.000 0.000 0.165
11 Ir 0.333 0.667 0.831
12 Ir 0.667 0.333 0.498

Calculated values
SG   R3m (160)
Crystal system   trigonal
Energy relative to the elements   -1.40 eV/f.u.
Energy relative to the lowest polymorph listed for this composition   0.152 eV per formula unit

---

Below is crystalline ZnHgI2 at its relaxed geometry, with properties calculated at the PBE level.

Lattice parameters (Å, degrees): 8.259 8.259 9.953 90.00 90.00 90.00
Positions (direct):
1 Zn 0.000 0.000 0.000
2 Zn 0.000 0.500 0.250
3 Zn 0.500 0.000 0.750
4 Zn 0.500 0.500 0.500
5 Hg 0.000 0.000 0.500
6 Hg 0.000 0.500 0.750
7 Hg 0.500 0.000 0.250
8 Hg 0.500 0.500 0.000
9 I 0.139 0.250 0.125
10 I 0.250 0.639 0.375
11 I 0.250 0.861 0.875
12 I 0.361 0.250 0.625
13 I 0.639 0.750 0.625
14 I 0.750 0.139 0.875
15 I 0.750 0.361 0.375
16 I 0.861 0.750 0.125

Calculated values
SG   I-42d (122)
Crystal system   tetragonal
Formation energy (no corrections)   -341 meV/atom
Energy relative to the lowest polymorph listed for this composition   0.278 eV per formula unit

---

Below is crystalline TlCrBr3 at its relaxed geometry, with properties calculated at the PBE level.

Lattice parameters (Å, degrees): 5.263 5.263 5.263 90.00 90.00 90.00
Positions (direct):
1 Tl 0.000 0.000 0.000
2 Cr 0.500 0.500 0.500
3 Br 0.000 0.500 0.500
4 Br 0.500 0.000 0.500
5 Br 0.500 0.500 0.000

Calculated values
SG   Pm-3m (221)
Crystal system   cubic
Formation energy (no corrections)   -700 meV/atom
Energy relative to the lowest polymorph listed for this composition   0.000 eV per formula unit